1.
{
  "formula": "ScCo3Pb",
  "functional": "GGA-PBEsol",
  "state": "relaxed",
  "lattice_angstrom": [[4.655, 0.000, 0.000], [0.000, 4.655, 0.000], [0.000, 0.000, 4.655]],
  "species": ["Sc", "Co", "Co", "Co", "Pb"],
  "frac_coords": [[0.000, 0.000, 0.000], [0.000, 0.500, 0.500], [0.500, 0.000, 0.500], [0.500, 0.500, 0.000], [0.500, 0.500, 0.500]],
  "crystal_system": "cubic",
  "delta_e_f_ev_per_atom": 1.285,
  "mass_density_g_cm3": 7.061,
  "total_energy_ev_per_fu": -27.39,
  "m_tot_mub_per_atom": 0.6373,
  "dos_at_fermi_per_ev_cell": 9.53
}

---

2.
{
  "formula": "YRuPt",
  "functional": "GGA-PBEsol",
  "state": "relaxed",
  "lattice_angstrom": [[3.084, 0.000, 0.000], [-1.542, 2.671, 0.000], [0.000, 0.000, 6.533]],
  "species": ["Y", "Ru", "Pt"],
  "frac_coords": [[0.000, 0.000, 0.000], [0.667, 0.333, 0.326], [0.333, 0.667, 0.650]],
  "crystal_system": "trigonal",
  "delta_e_f_ev_per_atom": 0.234,
  "mass_density_g_cm3": 11.884,
  "total_energy_ev_per_fu": -23.26,
  "m_tot_mub_per_atom": 0.0009,
  "dos_at_fermi_per_ev_cell": 3.87
}

---

3.
{
  "formula": "Ni2Pt7",
  "functional": "GGA-PBEsol",
  "state": "relaxed",
  "lattice_angstrom": [[4.712, 0.000, 0.000], [-2.356, 4.081, 0.000], [0.000, 0.000, 6.628]],
  "species": ["Ni", "Ni", "Pt", "Pt", "Pt", "Pt", "Pt", "Pt", "Pt"],
  "frac_coords": [[0.333, 0.667, 0.000], [0.667, 0.333, 0.000], [0.000, 0.000, 0.000], [0.000, 0.337, 0.324], [0.000, 0.663, 0.676], [0.337, 0.000, 0.324], [0.337, 0.337, 0.676], [0.663, 0.000, 0.676], [0.663, 0.663, 0.324]],
  "crystal_system": "trigonal",
  "delta_e_f_ev_per_atom": -0.029,
  "mass_density_g_cm3": 19.317,
  "total_energy_ev_per_fu": -61.32,
  "m_tot_mub_per_atom": 0.3531,
  "dos_at_fermi_per_ev_cell": 14.84
}

---

4.
{
  "formula": "K2SbSe",
  "functional": "GGA-PBEsol",
  "state": "relaxed",
  "lattice_angstrom": [[-4.762, 4.762, 2.908], [4.762, -4.762, 2.908], [4.762, 4.762, -2.908]],
  "species": ["K", "K", "K", "K", "Sb", "Sb", "Se", "Se"],
  "frac_coords": [[0.068, 0.125, 0.443], [0.375, 0.932, 0.057], [0.682, 0.625, 0.557], [0.875, 0.318, 0.943], [0.250, 0.750, 0.500], [0.500, 0.500, 0.000], [0.000, 0.000, 0.000], [0.750, 0.250, 0.500]],
  "raw_formation_energy_ev_per_atom": -0.393,
  "crystal_system": "tetragonal",
  "mass_density_g_cm3": 3.512,
  "total_energy_ev_per_fu": -12.25,
  "m_tot_mub_per_atom": 0.0003,
  "dos_at_fermi_per_ev_cell": 7.64
}

---

5.
{
  "formula": "SrCaIr2I",
  "functional": "GGA-PBEsol",
  "state": "relaxed",
  "lattice_angstrom": [[5.013, 0.000, 0.000], [0.000, 5.013, 0.000], [0.000, 0.000, 5.560]],
  "species": ["Sr", "Ca", "Ir", "Ir", "I"],
  "frac_coords": [[0.000, 0.000, 0.000], [0.500, 0.500, 0.000], [0.000, 0.500, 0.500], [0.500, 0.000, 0.500], [0.000, 0.000, 0.500]],
  "raw_formation_energy_ev_per_atom": 0.888,
  "crystal_system": "tetragonal",
  "mass_density_g_cm3": 7.596,
  "total_energy_ev_per_fu": -20.95,
  "m_tot_mub_per_atom": 0.0006,
  "dos_at_fermi_per_ev_cell": 5.80
}

---

6.
{
  "formula": "ZrMnN2O",
  "functional": "GGA-PBEsol",
  "state": "relaxed",
  "lattice_angstrom": [[4.005, 0.000, 0.000], [0.000, 4.005, 0.000], [0.000, 0.000, 3.323]],
  "species": ["Zr", "Mn", "N", "N", "O"],
  "frac_coords": [[0.000, 0.000, 0.000], [0.500, 0.500, 0.000], [0.000, 0.500, 0.500], [0.500, 0.000, 0.500], [0.500, 0.500, 0.500]],
  "raw_formation_energy_ev_per_atom": 0.434,
  "crystal_system": "tetragonal",
  "mass_density_g_cm3": 5.924,
  "total_energy_ev_per_fu": -38.98,
  "m_tot_mub_per_atom": 0.4485,
  "dos_at_fermi_per_ev_cell": 2.67
}

---

7.
{
  "formula": "Be3NiO",
  "functional": "GGA-PBEsol",
  "state": "relaxed",
  "lattice_angstrom": [[3.887, 0.000, 0.000], [0.000, 3.887, 0.000], [0.000, 0.000, 3.887]],
  "species": ["Be", "Be", "Be", "Ni", "O"],
  "frac_coords": [[0.000, 0.000, 0.500], [0.000, 0.500, 0.000], [0.500, 0.000, 0.000], [0.000, 0.000, 0.000], [0.500, 0.500, 0.500]],
  "raw_formation_energy_ev_per_atom": 0.839,
  "crystal_system": "cubic",
  "mass_density_g_cm3": 2.876,
  "total_energy_ev_per_fu": -19.21,
  "m_tot_mub_per_atom": 0.0001,
  "dos_at_fermi_per_ev_cell": 2.15
}

---

8.
{
  "formula": "BeAgI2",
  "functional": "GGA-PBEsol",
  "state": "relaxed",
  "lattice_angstrom": [[-3.549, 3.549, 4.038], [3.549, -3.549, 4.038], [3.549, 3.549, -4.038]],
  "species": ["Be", "Be", "Ag", "Ag", "I", "I", "I", "I"],
  "frac_coords": [[0.000, 0.000, 0.000], [0.750, 0.250, 0.500], [0.250, 0.750, 0.500], [0.500, 0.500, 0.000], [0.069, 0.125, 0.444], [0.375, 0.931, 0.056], [0.681, 0.625, 0.556], [0.875, 0.319, 0.944]],
  "raw_formation_energy_ev_per_atom": 0.199,
  "crystal_system": "tetragonal",
  "mass_density_g_cm3": 6.053,
  "total_energy_ev_per_fu": -10.05,
  "m_tot_mub_per_atom": 0.0000,
  "dos_at_fermi_per_ev_cell": 3.54
}

---

9.
{
  "formula": "BaNaZr2Al",
  "functional": "GGA-PBEsol",
  "state": "relaxed",
  "lattice_angstrom": [[5.299, 0.000, 0.000], [0.000, 5.299, 0.000], [0.000, 0.000, 5.180]],
  "species": ["Ba", "Na", "Zr", "Zr", "Al"],
  "frac_coords": [[0.000, 0.000, 0.000], [0.000, 0.000, 0.500], [0.000, 0.500, 0.000], [0.500, 0.000, 0.000], [0.500, 0.500, 0.500]],
  "crystal_system": "tetragonal",
  "delta_e_f_ev_per_atom": 1.633,
  "mass_density_g_cm3": 4.221,
  "total_energy_ev_per_fu": -17.65,
  "m_tot_mub_per_atom": 0.0004,
  "dos_at_fermi_per_ev_cell": 5.41
}

---

10.
{
  "formula": "KGa2TePd",
  "functional": "GGA-PBEsol",
  "state": "relaxed",
  "lattice_angstrom": [[4.819, 0.000, 0.000], [0.000, 4.819, 0.000], [0.000, 0.000, 5.712]],
  "species": ["K", "Ga", "Ga", "Te", "Pd"],
  "frac_coords": [[0.000, 0.000, 0.000], [0.000, 0.500, 0.500], [0.500, 0.000, 0.500], [0.500, 0.500, 0.000], [0.500, 0.500, 0.500]],
  "raw_formation_energy_ev_per_atom": -0.295,
  "crystal_system": "tetragonal",
  "mass_density_g_cm3": 5.166,
  "total_energy_ev_per_fu": -18.77,
  "m_tot_mub_per_atom": 0.0000,
  "dos_at_fermi_per_ev_cell": 1.98
}

---

11.
{
  "formula": "V3CoO8",
  "functional": "GGA-PBEsol",
  "state": "relaxed",
  "lattice_angstrom": [[-4.819, 7.164, 4.117], [4.819, -7.164, 4.117], [4.819, 7.164, -4.117]],
  "species": ["V", "V", "V", "V", "V", "V", "V", "V", "V", "V", "V", "V", "Co", "Co", "Co", "Co", "O", "O", "O", "O", "O", "O", "O", "O", "O", "O", "O", "O", "O", "O", "O", "O", "O", "O", "O", "O", "O", "O", "O", "O", "O", "O", "O", "O", "O", "O", "O", "O"],
  "frac_coords": [[0.024, 0.831, 0.851], [0.045, 0.857, 0.509], [0.201, 0.052, 0.254], [0.299, 0.552, 0.851], [0.348, 0.536, 0.491], [0.480, 0.331, 0.807], [0.524, 0.673, 0.193], [0.545, 0.036, 0.188], [0.701, 0.448, 0.149], [0.799, 0.948, 0.746], [0.848, 0.357, 0.812], [0.980, 0.173, 0.149], [0.149, 0.632, 0.166], [0.467, 0.983, 0.834], [0.649, 0.483, 0.517], [0.967, 0.132, 0.483], [0.069, 0.979, 0.384], [0.074, 0.012, 0.096], [0.082, 0.387, 0.144], [0.093, 0.294, 0.363], [0.095, 0.479, 0.910], [0.130, 0.749, 0.384], [0.239, 0.413, 0.638], [0.243, 0.938, 0.856], [0.259, 0.103, 0.678], [0.275, 0.913, 0.174], [0.366, 0.746, 0.616], [0.393, 0.314, 0.380], [0.416, 0.512, 0.938], [0.424, 0.580, 0.322], [0.431, 0.794, 0.201], [0.434, 0.814, 0.921], [0.569, 0.185, 0.090], [0.574, 0.478, 0.062], [0.582, 0.438, 0.695], [0.593, 0.229, 0.799], [0.595, 0.685, 0.616], [0.630, 0.246, 0.380], [0.739, 0.101, 0.826], [0.743, 0.887, 0.305], [0.759, 0.080, 0.156], [0.775, 0.601, 0.362], [0.866, 0.249, 0.620], [0.893, 0.513, 0.079], [0.916, 0.978, 0.904], [0.924, 0.603, 0.844], [0.931, 0.729, 0.637], [0.934, 0.013, 0.620]],
  "raw_formation_energy_ev_per_atom": -2.073,
  "crystal_system": "orthorhombic",
  "mass_density_g_cm3": 3.969,
  "total_energy_ev_per_fu": -103.51,
  "m_tot_mub_per_atom": 0.1656,
  "dos_at_fermi_per_ev_cell": 18.10
}

---

12.
{
  "formula": "MnSO3",
  "functional": "GGA-PBEsol",
  "state": "relaxed",
  "lattice_angstrom": [[6.428, 3.711, 2.641], [-6.428, 3.711, 2.641], [0.000, -7.423, 2.641]],
  "species": ["Mn", "Mn", "Mn", "Mn", "Mn", "Mn", "S", "S", "S", "S", "S", "S", "O", "O", "O", "O", "O", "O", "O", "O", "O", "O", "O", "O", "O", "O", "O", "O", "O", "O"],
  "frac_coords": [[0.133, 0.313, 0.817], [0.183, 0.867, 0.687], [0.313, 0.817, 0.133], [0.687, 0.183, 0.867], [0.817, 0.133, 0.313], [0.867, 0.687, 0.183], [0.151, 0.476, 0.292], [0.292, 0.151, 0.476], [0.476, 0.292, 0.151], [0.524, 0.708, 0.849], [0.708, 0.849, 0.524], [0.849, 0.524, 0.708], [0.057, 0.733, 0.841], [0.088, 0.636, 0.383], [0.127, 0.191, 0.519], [0.159, 0.943, 0.267], [0.191, 0.519, 0.127], [0.267, 0.159, 0.943], [0.364, 0.617, 0.912], [0.383, 0.088, 0.636], [0.481, 0.873, 0.809], [0.519, 0.127, 0.191], [0.617, 0.912, 0.364], [0.636, 0.383, 0.088], [0.733, 0.841, 0.057], [0.809, 0.481, 0.873], [0.841, 0.057, 0.733], [0.873, 0.809, 0.481], [0.912, 0.364, 0.617], [0.943, 0.267, 0.159]],
  "raw_formation_energy_ev_per_atom": -1.253,
  "crystal_system": "trigonal",
  "mass_density_g_cm3": 3.557,
  "total_energy_ev_per_fu": -36.16,
  "m_tot_mub_per_atom": 1.0000
}